Na2CeCoO4: relaxed, PBE+U.

Values from the calculation:
Symmetry: I-4 (82)
Raw total energy (eV for the cell shown): -48.54

Unit cell a=5.171 b=5.171 c=5.171 alpha=103.13 beta=112.73 gamma=112.73
Atoms (fractional coordinates):
1 O 0.932 0.659 0.207
2 O 0.452 0.793 0.725
3 O 0.548 0.273 0.341
4 O 0.068 0.275 0.727
5 Na 0.000 0.000 0.000
6 Na 0.500 0.750 0.250
7 Co 0.000 0.500 0.500
8 Ce 0.500 0.250 0.750